# LiScIn2Br6, optimized geometry, DFT PBE
# Formation energy from raw total energies, kJ per mole of atoms: -119.9
# Total moment, μB per formula unit: 0.0
# Electronic total energy, Ry per atom: -0.266
data_LiScIn2Br6
_symmetry_space_group_name_H-M 'P 1 21/c 1'
_symmetry_Int_Tables_number 14
_cell_length_a 7.4334
_cell_length_b 7.7021
_cell_length_c 12.8968
_cell_angle_alpha 90.00
_cell_angle_beta 124.89
_cell_angle_gamma 90.00
loop_
_symmetry_equiv_pos_as_xyz
'x,y,z'
'-x,-y,-z'
'-x,y+1/2,-z+1/2'
'x,-y+1/2,z+1/2'
loop_
_atom_site_label
_atom_site_fract_x
_atom_site_fract_y
_atom_site_fract_z
Li1 0.0000 0.0000 0.0000
Sc1 0.5000 0.0000 0.5000
In1 0.2292 0.0723 0.7467
Br1 0.1719 0.1982 0.4618
Br2 0.2657 0.7138 0.4621
Br3 0.3313 0.0106 0.2535